# ZrSe6Cl12 | Alexandria via LeMat-Bulk | PBE | relaxed
data_ZrSe6Cl12
_symmetry_space_group_name_H-M 'P 1'
_symmetry_Int_Tables_number 1
_cell_length_a 9.342
_cell_length_b 9.342
_cell_length_c 9.342
_cell_angle_alpha 67.38
_cell_angle_beta 67.38
_cell_angle_gamma 67.38
loop_
_symmetry_equiv_pos_as_xyz
'x,y,z'
loop_
_atom_site_label
_atom_site_type_symbol
_atom_site_fract_x
_atom_site_fract_y
_atom_site_fract_z
_atom_site_occupancy
Zr1 Zr 0.000 0.000 0.000 1
Se1 Se 0.222 0.286 0.491 1
Se2 Se 0.286 0.491 0.222 1
Se3 Se 0.491 0.222 0.286 1
Se4 Se 0.509 0.778 0.714 1
Se5 Se 0.714 0.509 0.778 1
Se6 Se 0.778 0.714 0.509 1
Cl1 Cl 0.012 0.704 0.533 1
Cl2 Cl 0.106 0.242 0.850 1
Cl3 Cl 0.150 0.894 0.758 1
Cl4 Cl 0.242 0.850 0.106 1
Cl5 Cl 0.296 0.467 0.988 1
Cl6 Cl 0.467 0.988 0.296 1
Cl7 Cl 0.533 0.012 0.704 1
Cl8 Cl 0.704 0.533 0.012 1
Cl9 Cl 0.758 0.150 0.894 1
Cl10 Cl 0.850 0.106 0.242 1
Cl11 Cl 0.894 0.758 0.150 1
Cl12 Cl 0.988 0.296 0.467 1
# * SG: R-3 (148)
# * total energy: -3.2488 eV/atom
# * volume: 35.1 Å³ per atom
# * raw formation energy: -10.11 eV/f.u.
# * crystal system: trigonal



# LaTb2Nd6 | Alexandria via LeMat-Bulk | PBE | relaxed
data_LaTb2Nd6
_symmetry_space_group_name_H-M 'P 1'
_symmetry_Int_Tables_number 1
_cell_length_a 10.180
_cell_length_b 10.180
_cell_length_c 3.493
_cell_angle_alpha 90.00
_cell_angle_beta 90.00
_cell_angle_gamma 120.00
loop_
_symmetry_equiv_pos_as_xyz
'x,y,z'
loop_
_atom_site_label
_atom_site_type_symbol
_atom_site_fract_x
_atom_site_fract_y
_atom_site_fract_z
_atom_site_occupancy
La1 La 0.000 0.000 0.000 1
Tb1 Tb 0.333 0.667 0.500 1
Tb2 Tb 0.667 0.333 0.500 1
Nd1 Nd 0.000 0.342 0.224 1
Nd2 Nd 0.000 0.658 0.776 1
Nd3 Nd 0.342 0.000 0.224 1
Nd4 Nd 0.342 0.342 0.776 1
Nd5 Nd 0.658 0.000 0.776 1
Nd6 Nd 0.658 0.658 0.224 1
# * SG: P-31m (162)
# * total energy: -4.6246 eV/atom
# * volume: 34.8 Å³ per atom
# * crystal system: trigonal
# * energy relative to the lowest polymorph listed for this composition: 113 meV/atom



# Ac3Ge2SbAu6 | Alexandria via LeMat-Bulk | PBE | relaxed
data_Ac3Ge2SbAu6
_symmetry_space_group_name_H-M 'P 1'
_symmetry_Int_Tables_number 1
_cell_length_a 6.625
_cell_length_b 6.625
_cell_length_c 8.441
_cell_angle_alpha 90.00
_cell_angle_beta 90.00
_cell_angle_gamma 120.00
loop_
_symmetry_equiv_pos_as_xyz
'x,y,z'
loop_
_atom_site_label
_atom_site_type_symbol
_atom_site_fract_x
_atom_site_fract_y
_atom_site_fract_z
_atom_site_occupancy
Ac1 Ac 0.000 0.000 0.000 1
Ac2 Ac 0.333 0.667 0.654 1
Ac3 Ac 0.667 0.333 0.346 1
Ge1 Ge 0.333 0.667 0.049 1
Ge2 Ge 0.667 0.333 0.951 1
Sb1 Sb 0.000 0.000 0.500 1
Au1 Au 0.184 0.367 0.281 1
Au2 Au 0.184 0.816 0.281 1
Au3 Au 0.367 0.184 0.719 1
Au4 Au 0.633 0.816 0.281 1
Au5 Au 0.816 0.184 0.719 1
Au6 Au 0.816 0.633 0.719 1
# * SG: P-3m1 (164)
# * total energy: -4.2872 eV/atom
# * volume: 26.7 Å³ per atom
# * raw formation energy: -6.10 eV/f.u.
# * crystal system: trigonal



# CoMoH | Alexandria via LeMat-Bulk | PBE | relaxed
data_CoMoH
_symmetry_space_group_name_H-M 'P 1'
_symmetry_Int_Tables_number 1
_cell_length_a 2.811
_cell_length_b 2.811
_cell_length_c 3.604
_cell_angle_alpha 90.00
_cell_angle_beta 90.00
_cell_angle_gamma 90.00
loop_
_symmetry_equiv_pos_as_xyz
'x,y,z'
loop_
_atom_site_label
_atom_site_type_symbol
_atom_site_fract_x
_atom_site_fract_y
_atom_site_fract_z
_atom_site_occupancy
Co1 Co 0.000 0.000 0.000 1
Mo1 Mo 0.500 0.500 0.500 1
H1 H 0.000 0.000 0.500 1
# * SG: P4/mmm (123)
# * total energy: -7.0245 eV/atom
# * volume: 9.5 Å³ per atom
# * crystal system: tetragonal
# * energy relative to the lowest polymorph listed for this composition: 53 meV/atom



# Tm8CuOs2 | Alexandria via LeMat-Bulk | PBE | relaxed
data_Tm8CuOs2
_symmetry_space_group_name_H-M 'P 1'
_symmetry_Int_Tables_number 1
_cell_length_a 8.993
_cell_length_b 8.993
_cell_length_c 6.889
_cell_angle_alpha 107.10
_cell_angle_beta 107.10
_cell_angle_gamma 30.51
loop_
_symmetry_equiv_pos_as_xyz
'x,y,z'
loop_
_atom_site_label
_atom_site_type_symbol
_atom_site_fract_x
_atom_site_fract_y
_atom_site_fract_z
_atom_site_occupancy
Tm1 Tm 0.033 0.033 0.283 1
Tm2 Tm 0.205 0.205 0.815 1
Tm3 Tm 0.330 0.330 0.539 1
Tm4 Tm 0.402 0.402 0.031 1
Tm5 Tm 0.598 0.598 0.969 1
Tm6 Tm 0.670 0.670 0.461 1
Tm7 Tm 0.795 0.795 0.185 1
Tm8 Tm 0.967 0.967 0.717 1
Cu1 Cu 0.500 0.500 0.500 1
Os1 Os 0.185 0.185 0.203 1
Os2 Os 0.815 0.815 0.797 1
# * SG: C2/m (12)
# * total energy: -5.8874 eV/atom
# * volume: 24.5 Å³ per atom
# * crystal system: monoclinic
# * energy relative to the lowest polymorph listed for this composition: 0 meV/atom



# CeDyEr2Bi4 | Alexandria via LeMat-Bulk | PBE | relaxed
data_CeDyEr2Bi4
_symmetry_space_group_name_H-M 'P 1'
_symmetry_Int_Tables_number 1
_cell_length_a 7.777
_cell_length_b 4.499
_cell_length_c 7.784
_cell_angle_alpha 90.00
_cell_angle_beta 109.49
_cell_angle_gamma 90.00
loop_
_symmetry_equiv_pos_as_xyz
'x,y,z'
loop_
_atom_site_label
_atom_site_type_symbol
_atom_site_fract_x
_atom_site_fract_y
_atom_site_fract_z
_atom_site_occupancy
Ce1 Ce 0.000 0.000 0.000 1
Dy1 Dy 0.000 0.500 0.500 1
Er1 Er 0.500 0.000 0.500 1
Er2 Er 0.500 0.500 0.000 1
Bi1 Bi 0.254 0.000 0.749 1
Bi2 Bi 0.257 0.500 0.255 1
Bi3 Bi 0.743 0.500 0.745 1
Bi4 Bi 0.746 0.000 0.251 1
# * SG: P2/m (10)
# * total energy: -5.2157 eV/atom
# * volume: 32.1 Å³ per atom
# * crystal system: monoclinic



# NaLa2Ga | Alexandria via LeMat-Bulk | PBE | relaxed
data_NaLa2Ga
_symmetry_space_group_name_H-M 'P 1'
_symmetry_Int_Tables_number 1
_cell_length_a 3.737
_cell_length_b 3.737
_cell_length_c 35.677
_cell_angle_alpha 90.00
_cell_angle_beta 90.00
_cell_angle_gamma 120.00
loop_
_symmetry_equiv_pos_as_xyz
'x,y,z'
loop_
_atom_site_label
_atom_site_type_symbol
_atom_site_fract_x
_atom_site_fract_y
_atom_site_fract_z
_atom_site_occupancy
Na1 Na 0.000 0.000 0.000 1
Na2 Na 0.333 0.667 0.667 1
Na3 Na 0.667 0.333 0.333 1
La1 La 0.000 0.000 0.105 1
La2 La 0.000 0.000 0.895 1
La3 La 0.333 0.667 0.561 1
La4 La 0.333 0.667 0.772 1
La5 La 0.667 0.333 0.228 1
La6 La 0.667 0.333 0.439 1
Ga1 Ga 0.000 0.000 0.500 1
Ga2 Ga 0.333 0.667 0.167 1
Ga3 Ga 0.667 0.333 0.833 1
# * SG: R-3m (166)
# * total energy: -3.6156 eV/atom
# * volume: 36.0 Å³ per atom
# * crystal system: trigonal



# YPNCl2 | Alexandria via LeMat-Bulk | PBE | relaxed
data_YPNCl2
_symmetry_space_group_name_H-M 'P 1'
_symmetry_Int_Tables_number 1
_cell_length_a 5.250
_cell_length_b 5.250
_cell_length_c 5.775
_cell_angle_alpha 90.00
_cell_angle_beta 90.00
_cell_angle_gamma 90.00
loop_
_symmetry_equiv_pos_as_xyz
'x,y,z'
loop_
_atom_site_label
_atom_site_type_symbol
_atom_site_fract_x
_atom_site_fract_y
_atom_site_fract_z
_atom_site_occupancy
Y1 Y 0.000 0.000 0.000 1
P1 P 0.000 0.000 0.500 1
N1 N 0.500 0.500 0.500 1
Cl1 Cl 0.000 0.500 0.000 1
Cl2 Cl 0.500 0.000 0.000 1
# * SG: P4/mmm (123)
# * total energy: -4.6455 eV/atom
# * volume: 31.8 Å³ per atom
# * raw formation energy: 0.66 eV/f.u.
# * crystal system: tetragonal
# * energy relative to the lowest polymorph listed for this composition: 3 meV/atom



# LaScCd | Alexandria via LeMat-Bulk | PBE | relaxed
data_LaScCd
_symmetry_space_group_name_H-M 'P 1'
_symmetry_Int_Tables_number 1
_cell_length_a 4.794
_cell_length_b 4.794
_cell_length_c 7.648
_cell_angle_alpha 90.00
_cell_angle_beta 90.00
_cell_angle_gamma 90.00
loop_
_symmetry_equiv_pos_as_xyz
'x,y,z'
loop_
_atom_site_label
_atom_site_type_symbol
_atom_site_fract_x
_atom_site_fract_y
_atom_site_fract_z
_atom_site_occupancy
La1 La 0.250 0.250 0.142 1
La2 La 0.750 0.750 0.858 1
Sc1 Sc 0.250 0.750 0.500 1
Sc2 Sc 0.750 0.250 0.500 1
Cd1 Cd 0.250 0.250 0.728 1
Cd2 Cd 0.750 0.750 0.272 1
# * SG: P4/nmm (129)
# * total energy: -4.2128 eV/atom
# * volume: 29.3 Å³ per atom
# * crystal system: tetragonal
# * energy relative to the lowest polymorph listed for this composition: 18 meV/atom



# RhPb3Se | Alexandria via LeMat-Bulk | PBE | relaxed
data_RhPb3Se
_symmetry_space_group_name_H-M 'P 1'
_symmetry_Int_Tables_number 1
_cell_length_a 5.276
_cell_length_b 5.276
_cell_length_c 5.276
_cell_angle_alpha 90.00
_cell_angle_beta 90.00
_cell_angle_gamma 90.00
loop_
_symmetry_equiv_pos_as_xyz
'x,y,z'
loop_
_atom_site_label
_atom_site_type_symbol
_atom_site_fract_x
_atom_site_fract_y
_atom_site_fract_z
_atom_site_occupancy
Rh1 Rh 0.000 0.000 0.000 1
Pb1 Pb 0.000 0.000 0.500 1
Pb2 Pb 0.000 0.500 0.000 1
Pb3 Pb 0.500 0.000 0.000 1
Se1 Se 0.500 0.500 0.500 1
# * SG: Pm-3m (221)
# * total energy: -4.4491 eV/atom
# * volume: 29.4 Å³ per atom
# * raw formation energy: -0.28 eV/f.u.
# * crystal system: cubic
# * energy relative to the lowest polymorph listed for this composition: 0 meV/atom



Among the records above, which one has the lowest total energy?
CoMoH



Number 9 is which compound?
LaScCd